Entry 1:
# Tb6Ce2Tm3Th | Alexandria | PBE-GGA | relaxed
data_Tb6Ce2Tm3Th
_chemical_formula_sum 'Tb12 Ce4 Tm6 Th2'
_symmetry_space_group_name_H-M 'C 1 2/m 1'
_symmetry_Int_Tables_number 12
_symmetry_space_group_name_Hall '-C 2y'
_cell_length_a 6.109
_cell_length_b 10.577
_cell_length_c 11.709
_cell_angle_alpha 90.00
_cell_angle_beta 100.03
_cell_angle_gamma 90.00
loop_
_atom_site_label
_atom_site_fract_x
_atom_site_fract_y
_atom_site_fract_z
Tb1 0.249 0.000 0.251
Tb2 0.250 0.166 0.749
Ce1 0.000 0.333 0.500
Tm1 0.000 0.167 0.000
Tm2 0.000 0.500 0.000
Th1 0.000 0.000 0.500
# - electronic total energy (eV per atom) = -4.99

***

Entry 2:
# Tl3C | Alexandria | PBE-GGA | relaxed
data_Tl3C
_chemical_formula_sum 'Tl6 C2'
_symmetry_space_group_name_H-M 'C m m m'
_symmetry_Int_Tables_number 65
_symmetry_space_group_name_Hall '-C 2 2'
_cell_length_a 6.589
_cell_length_b 6.619
_cell_length_c 4.642
_cell_angle_alpha 90.00
_cell_angle_beta 90.00
_cell_angle_gamma 90.00
loop_
_atom_site_label
_atom_site_fract_x
_atom_site_fract_y
_atom_site_fract_z
Tl1 0.000 0.000 0.000
Tl2 0.250 0.250 0.500
C1 0.000 0.500 0.000
# - ΔE to the lowest computed polymorph (eV/f.u.) = 3.31

***

Entry 3:
# K2RbTlIn | Alexandria | PBE-GGA | relaxed
data_K2RbTlIn
_chemical_formula_sum 'K2 Rb1 Tl1 In1'
_symmetry_space_group_name_H-M 'P 4/m m m'
_symmetry_Int_Tables_number 123
_symmetry_space_group_name_Hall '-P 4 2'
_cell_length_a 6.936
_cell_length_b 6.936
_cell_length_c 5.695
_cell_angle_alpha 90.00
_cell_angle_beta 90.00
_cell_angle_gamma 90.00
loop_
_atom_site_label
_atom_site_fract_x
_atom_site_fract_y
_atom_site_fract_z
K1 0.000 0.500 0.000
Rb1 0.000 0.000 0.500
Tl1 0.500 0.500 0.000
In1 0.500 0.500 0.500
# - ΔE to the lowest computed polymorph (eV/f.u.) = 0.00

***

Entry 4:
# Cs3NaAg2F9 | Alexandria | PBE-GGA | relaxed
data_Cs3NaAg2F9
_chemical_formula_sum 'Cs3 Na1 Ag2 F9'
_symmetry_space_group_name_H-M 'P -3 m 1'
_symmetry_Int_Tables_number 164
_symmetry_space_group_name_Hall '-P 3 2"'
_cell_length_a 6.3479
_cell_length_b 6.3479
_cell_length_c 7.7921
_cell_angle_alpha 90.00
_cell_angle_beta 90.00
_cell_angle_gamma 120.00
loop_
_atom_site_label
_atom_site_fract_x
_atom_site_fract_y
_atom_site_fract_z
Cs1 0.0000 0.0000 0.0000
Cs2 0.3333 0.6667 0.6531
Na1 0.0000 0.0000 0.5000
Ag1 0.3333 0.6667 0.1588
F1 0.0000 0.5000 0.0000
F2 0.1722 0.3444 0.3180
# - raw formation energy (eV per atom) = -2.05

***

Entry 5:
# CsLaTa2 | Alexandria | PBE-GGA | relaxed
data_CsLaTa2
_chemical_formula_sum 'Cs4 La4 Ta8'
_symmetry_space_group_name_H-M 'F m -3 m'
_symmetry_Int_Tables_number 225
_symmetry_space_group_name_Hall '-F 4 2 3'
_cell_length_a 7.456
_cell_length_b 7.456
_cell_length_c 7.456
_cell_angle_alpha 90.00
_cell_angle_beta 90.00
_cell_angle_gamma 90.00
loop_
_atom_site_label
_atom_site_fract_x
_atom_site_fract_y
_atom_site_fract_z
Cs1 0.000 0.000 0.000
La1 0.000 0.000 0.500
Ta1 0.250 0.250 0.250
# - ΔE to the lowest computed polymorph (eV/f.u.) = 0.92

***

Entry 6:
# Be2NbNi2 | Alexandria | PBE-GGA | relaxed
data_Be2NbNi2
_chemical_formula_sum 'Be4 Nb2 Ni4'
_symmetry_space_group_name_H-M 'P 4/m b m'
_symmetry_Int_Tables_number 127
_symmetry_space_group_name_Hall '-P 4 2ab'
_cell_length_a 6.686
_cell_length_b 6.686
_cell_length_c 2.515
_cell_angle_alpha 90.00
_cell_angle_beta 90.00
_cell_angle_gamma 90.00
loop_
_atom_site_label
_atom_site_fract_x
_atom_site_fract_y
_atom_site_fract_z
Be1 0.165 0.335 0.000
Nb1 0.000 0.000 0.500
Ni1 0.129 0.629 0.500
# - ΔE to the lowest computed polymorph (eV/f.u.) = 0.48

***

Magnetization for every record listed, in sequence, given in μB per cell: 2.43; 2.56; 0.00; 0.00; 0.00; 0.01.
Volume for every record listed, in sequence, given in Å³/cell: 745.1; 202.4; 274.0; 271.9; 414.4; 112.4.
Density for every record listed, in sequence, given in g/cm³: 8.8; 10.3; 2.9; 4.9; 10.2; 6.7.